Density functional theory data (PBE-GGA) for a relaxed structure of ReAgRh2.

Geometry as POSCAR:
```
ReAgRh2
1.0
2.789 0.000 0.000
0.000 2.789 0.000
0.000 0.000 7.826
Re Ag Rh
1 1 2
Cartesian
1.395 1.395 3.913
1.395 1.395 0.000
0.000 0.000 5.702
0.000 0.000 2.123
```

Output
DFT total energy	-7.506	eV/atom
crystal system	tetragonal
energy relative to the elements	-1	kJ/mol of atoms


Density functional theory data (PBE-GGA) for a relaxed structure of PmSm2Ti.

Geometry as POSCAR:
```
PmSm2Ti
1.0
-0.314 3.145 -1.261
-1.614 0.496 -2.954
-11.013 2.540 4.485
Ti Sm Pm
1 2 1
Cartesian
0.000 0.000 0.000
-8.449 2.212 3.028
-4.493 3.969 -2.758
-6.471 3.091 0.135
```

Output
DFT total energy	-5.069	eV/atom
crystal system	trigonal
energy relative to the elements	44	kJ/mol of atoms


Density functional theory data (PBE-GGA) for a relaxed structure of Sc2AgSb.

Geometry as POSCAR:
```
Sc2AgSb
1.0
9.314 -3.150 3.859
9.147 -5.136 1.228
10.319 -2.066 0.907
Sc Sb Ag
2 1 1
Cartesian
26.094 -9.386 5.435
2.685 -0.966 0.559
0.000 0.000 0.000
14.390 -5.176 2.997
```

Output
E_form (uncorrected)	0.2	eV per formula unit
DFT total energy	-4.849	eV/atom
crystal system	trigonal